Entry from Alexandria via LeMat-Bulk: a geometry-optimized InGeS2Cl structure (GGA-PBE).

Computed properties:
The energy above the most stable polymorph in this dataset is 0.000 eV/atom. Its density of states at the Fermi level is 0.28 states/eV per atom.

abc: 4.7911 4.7911 5.1534
angles: 90.00 90.00 90.00
Fractional positions:
Cl1 0.0000 0.0000 0.5000
S1 0.5000 0.0000 0.0000
In1 0.5000 0.5000 0.5000
S2 0.0000 0.5000 0.0000
Ge1 0.0000 0.0000 0.0000

---

Entry from Alexandria via LeMat-Bulk: a geometry-optimized ScInGeCl6 structure (GGA-PBE).

Computed properties:
Its density of states at the Fermi level is 0.00 states/eV per atom.

abc: 6.7998 6.7997 6.9166
angles: 90.00 90.00 59.99
Fractional positions:
Cl1 0.6201 0.3612 0.7102
Cl2 0.0184 0.6205 0.7101
Cl3 0.0186 0.3610 0.2898
Cl4 0.3610 0.0187 0.7101
Cl5 0.6205 0.0184 0.2899
Ge1 0.6666 0.6667 0.5000
Sc1 0.3334 0.3334 0.5000
In1 0.0000 0.0000 0.0000
Cl6 0.3612 0.6202 0.2897

---

Entry from Alexandria via LeMat-Bulk: a geometry-optimized InSnGeCl2 structure (GGA-PBE).

Computed properties:
The energy above the most stable polymorph in this dataset is 0.008 eV/atom. Its density of states at the Fermi level is 0.75 states/eV per atom.

abc: 5.2386 5.9668 5.2386
angles: 90.00 90.00 90.00
Fractional positions:
In1 0.0000 0.5000 0.0000
Sn1 0.0000 0.0000 0.0000
Cl1 0.5000 0.0000 0.0000
Ge1 0.5000 0.5000 0.5000
Cl2 0.0000 0.0000 0.5000

---

Entry from Alexandria via LeMat-Bulk: a geometry-optimized In2SnGeCl6 structure (GGA-PBE).

Computed properties:
Its density of states at the Fermi level is 0.00 states/eV per atom.

abc: 5.7055 7.7466 7.7466
angles: 90.00 90.00 90.00
Fractional positions:
In1 0.9948 0.5000 0.0000
Cl1 0.7020 0.2435 0.7565
Sn1 0.6550 0.5000 0.5000
Cl2 0.7020 0.7565 0.2435
Ge1 0.6437 0.0000 0.0000
Cl3 0.1128 0.5000 0.5000
In2 0.9948 0.0000 0.5000
Cl4 0.7020 0.2435 0.2435
Cl5 0.7020 0.7565 0.7565
Cl6 0.2380 0.0000 0.0000

---

Entry from Alexandria via LeMat-Bulk: a geometry-optimized InSnGeCl2 structure (GGA-PBE).

Computed properties:
The energy above the most stable polymorph in this dataset is 0.000 eV/atom. Its density of states at the Fermi level is 0.64 states/eV per atom.

abc: 5.1096 5.9299 5.1096
angles: 90.00 90.00 90.00
Fractional positions:
In1 0.0000 0.0000 0.0000
Cl1 0.0000 0.0000 0.5000
Sn1 0.0000 0.5000 0.0000
Ge1 0.5000 0.5000 0.5000
Cl2 0.5000 0.0000 0.0000

---

Entry from Alexandria via LeMat-Bulk: a geometry-optimized SrIn2GeCl6 structure (GGA-PBE).

Computed properties:
Its density of states at the Fermi level is 0.00 states/eV per atom.

abc: 7.6534 7.6539 7.7161
angles: 60.24 60.24 59.97
Fractional positions:
Cl1 0.4747 0.6432 0.7782
Cl2 0.6432 0.1037 0.7784
Cl3 0.9895 0.5816 0.2629
Sr1 0.8170 0.8170 0.5490
In1 0.5319 0.5319 0.4044
Ge1 0.3186 0.3185 0.0444
In2 0.0354 0.0355 0.8934
Cl4 0.1660 0.9896 0.2633
Cl5 0.1039 0.4745 0.7782
Cl6 0.5815 0.1661 0.2631

---

Entry from Alexandria via LeMat-Bulk: a geometry-optimized SrIn2GeCl structure (GGA-PBE).

Computed properties:
Its density of states at the Fermi level is 0.78 states/eV per atom.

abc: 6.6690 5.4663 6.6690
angles: 90.00 90.00 90.00
Fractional positions:
Ge1 0.0000 0.5000 0.0000
Cl1 0.5000 0.5000 0.5000
In1 0.5000 0.0000 0.0000
In2 0.0000 0.0000 0.5000
Sr1 0.0000 0.0000 0.0000

---

Entry from Alexandria via LeMat-Bulk: a geometry-optimized In2TcGeCl structure (GGA-PBE).

Computed properties:
Its density of states at the Fermi level is 0.97 states/eV per atom.

abc: 5.5197 4.3234 5.5197
angles: 90.00 90.00 90.00
Fractional positions:
Tc1 0.0000 0.5000 0.0000
In1 0.0000 0.0000 0.5000
Ge1 0.5000 0.5000 0.5000
Cl1 0.0000 0.0000 0.0000
In2 0.5000 0.0000 0.0000

---

Entry from Alexandria via LeMat-Bulk: a geometry-optimized Ti2InGeCl structure (GGA-PBE).

Computed properties:
Its density of states at the Fermi level is 1.18 states/eV per atom.

abc: 4.9612 4.9263 4.9612
angles: 90.00 90.00 90.00
Fractional positions:
Ti1 0.5000 0.0000 0.0000
In1 0.5000 0.5000 0.5000
Cl1 0.0000 0.5000 0.0000
Ge1 0.0000 0.0000 0.0000
Ti2 0.0000 0.0000 0.5000

---

Entry from Alexandria via LeMat-Bulk: a geometry-optimized In2GeWCl structure (GGA-PBE).

Computed properties:
Its density of states at the Fermi level is 0.64 states/eV per atom.

abc: 5.5269 4.3954 5.5269
angles: 90.00 90.00 90.00
Fractional positions:
Cl1 0.0000 0.0000 0.0000
In1 0.5000 0.0000 0.0000
Ge1 0.5000 0.5000 0.5000
W1 0.0000 0.5000 0.0000
In2 0.0000 0.0000 0.5000

---

Entry from Alexandria via LeMat-Bulk: a geometry-optimized InGeWCl2 structure (GGA-PBE).

Computed properties:
Its density of states at the Fermi level is 0.48 states/eV per atom.

abc: 4.9643 5.8786 4.9643
angles: 90.00 90.00 90.00
Fractional positions:
Cl1 0.0000 0.0000 0.5000
In1 0.0000 0.0000 0.0000
W1 0.0000 0.5000 0.0000
Ge1 0.5000 0.5000 0.5000
Cl2 0.5000 0.0000 0.0000

---

Entry from Alexandria via LeMat-Bulk: a geometry-optimized Zn2InGeCl structure (GGA-PBE).

Computed properties:
Its density of states at the Fermi level is 0.39 states/eV per atom.

abc: 5.1478 5.3962 5.1478
angles: 90.00 90.00 90.00
Fractional positions:
Ge1 0.0000 0.5000 0.0000
Cl1 0.5000 0.5000 0.5000
Zn1 0.0000 0.0000 0.5000
Zn2 0.5000 0.0000 0.0000
In1 0.0000 0.0000 0.0000

---

Entry from Alexandria via LeMat-Bulk: a geometry-optimized GeIrCl structure (GGA-PBE).

abc: 5.8802 3.5953 13.4038
angles: 90.00 115.85 90.00
Fractional positions:
Ge1 0.9063 0.5000 0.0751
Ge2 0.3770 0.5000 0.5456
Cl1 0.5227 0.0000 0.8099
Cl2 0.0256 0.5000 0.8110
Ge3 0.3770 0.0000 0.0456
Ir1 0.4673 0.5000 0.9527
Ir2 0.4673 0.0000 0.4527
Cl3 0.0256 0.0000 0.3110
Cl4 0.5227 0.5000 0.3099
Ge4 0.9063 0.0000 0.5751
Ir3 0.1814 0.0000 0.1680
Ir4 0.1814 0.5000 0.6680

---

Entry from Alexandria via LeMat-Bulk: a geometry-optimized GeIrCl structure (GGA-PBE).

abc: 3.7490 7.0557 6.6998
angles: 113.43 124.01 90.00
Fractional positions:
Cl1 0.5254 0.6654 0.7757
Ge1 0.0668 0.8584 0.3167
Cl2 0.4746 0.3346 0.2243
Ir1 0.7454 0.7540 0.4954
Ge2 0.9332 0.1416 0.6833
Ir2 0.2546 0.2460 0.5046

---

Entry from Alexandria via LeMat-Bulk: a geometry-optimized GeIr3Cl structure (GGA-PBE).

Computed properties:
Its density of states at the Fermi level is 1.31 states/eV per atom.

abc: 4.4789 4.4789 4.4789
angles: 90.00 90.00 90.00
Fractional positions:
Ir1 0.0000 0.5000 0.0000
Cl1 0.0000 0.0000 0.0000
Ir2 0.5000 0.0000 0.0000
Ge1 0.5000 0.5000 0.5000
Ir3 0.0000 0.0000 0.5000

---

Entry from Alexandria via LeMat-Bulk: a geometry-optimized GeIrCl structure (GGA-PBE).

Computed properties:
Its density of states at the Fermi level is 0.16 states/eV per atom.

abc: 12.0910 3.2262 12.0908
angles: 90.00 150.83 90.00
Fractional positions:
Ir1 0.1407 0.0005 0.3075
Ir2 0.6407 0.4995 0.3075
Cl1 0.7480 0.3494 0.1994
Ge1 0.3433 0.4991 0.6051
Cl2 0.2480 0.6506 0.6994
Ir3 0.6407 0.9995 0.8075
Cl3 0.2480 0.1506 0.1994
Cl4 0.7480 0.8494 0.6994
Ge2 0.8433 0.5009 0.1051
Ge3 0.3433 0.9991 0.1051
Ge4 0.8433 0.0009 0.6051
Ir4 0.1407 0.5005 0.8075

---

Entry from Alexandria via LeMat-Bulk: a geometry-optimized GeIrCl structure (GGA-PBE).

abc: 3.6296 6.1775 5.1778
angles: 90.00 90.00 90.00
Fractional positions:
Ge1 0.0000 0.5868 0.2744
Cl1 0.5000 0.1086 0.2025
Ir1 0.5000 0.7353 0.0329
Ge2 0.5000 0.4132 0.7744
Cl2 0.0000 0.8914 0.7025
Ir2 0.0000 0.2647 0.5329

---

Entry from Alexandria via LeMat-Bulk: a geometry-optimized GeIr3Cl structure (GGA-PBE).

Computed properties:
Its density of states at the Fermi level is 1.62 states/eV per atom.

abc: 4.6625 4.6625 4.6625
angles: 90.00 90.00 90.00
Fractional positions:
Ir1 0.0000 0.5000 0.0000
Ir2 0.5000 0.0000 0.0000
Ge1 0.0000 0.0000 0.0000
Cl1 0.5000 0.5000 0.5000
Ir3 0.0000 0.0000 0.5000

---

Entry from Alexandria via LeMat-Bulk: a geometry-optimized GeIrCl structure (GGA-PBE).

Computed properties:
Its density of states at the Fermi level is 0.04 states/eV per atom.

abc: 3.2316 5.9023 6.4170
angles: 89.98 75.50 89.93
Fractional positions:
Cl1 0.8209 0.8476 0.9005
Ir1 0.9105 0.4658 0.7342
Cl2 0.7223 0.3476 0.1116
Ge1 0.4864 0.2145 0.5826
Ge2 0.0627 0.7145 0.4294
Ir2 0.6374 0.9658 0.2778

---

Entry from Alexandria via LeMat-Bulk: a geometry-optimized GeIr2Cl structure (GGA-PBE).

Computed properties:
The energy above the most stable polymorph in this dataset is 0.000 eV/atom. Its density of states at the Fermi level is 0.64 states/eV per atom.

abc: 4.2092 4.2092 8.3104
angles: 75.33 75.33 90.00
Fractional positions:
Ir1 0.6164 0.1250 0.2500
Cl1 0.2500 0.7500 0.5000
Ir2 0.8750 0.8664 0.7500
Cl2 0.5000 0.5000 0.0000
Ge1 0.7500 0.2500 0.5000
Ir3 0.1336 0.6250 0.2500
Ge2 0.0000 0.0000 0.0000
Ir4 0.3750 0.3836 0.7500

---

Respective uncorrected formation energy values: -0.8; -12.6; 0.3; -8.5; 0.3; -12.8; 2.9; 4.6; 2.4; 6.0; 5.7; 1.7; -0.8; -0.4; 7.8; -0.4; -1.0; 7.8; -0.8; 2.1 eV/f.u..